Record 1
DFT (GGA-PBEsol) results for a relaxed structure of Mo2P.

The value obtained for the size of the total moment is 0.00 μB per cell. The formation energy is -0.2114 eV per atom. As for the total energy: -9.9871 eV/atom.

Structure (POSCAR):
```
Mo2P
1.0
-2.790 -0.079 1.108
-0.104 -1.494 -4.438
1.642 -5.247 3.762
Mo P
4 2
Direct
0.166 0.331 0.123
0.144 0.288 0.529
0.834 0.669 0.877
0.856 0.712 0.471
0.465 0.931 0.212
0.535 0.069 0.788
```



Record 2
DFT (GGA-PBEsol) results for a relaxed structure of CaLaPt4.

The value obtained for the size of the total moment is 0.00 μB per cell. The formation energy is -1.0170 eV per atom. As for the total energy: -6.9060 eV/atom.

Structure (POSCAR):
```
CaLaPt4
1.0
5.423 0.000 0.000
2.712 4.697 0.000
2.712 1.566 4.428
Pt Ca La
4 1 1
Direct
0.375 0.375 0.375
0.375 0.375 0.874
0.874 0.375 0.375
0.375 0.874 0.375
0.750 0.750 0.750
0.000 0.000 0.000
```



Record 3
DFT (GGA-PBEsol) results for a relaxed structure of NbSiSe2.

Its uncorrected formation energy is -1.163 eV/f.u. The value obtained for the size of the total moment is 0.00 μB per cell. As for the total energy: -6.3578 eV/atom.

Structure (POSCAR):
```
NbSiSe2
1.0
3.289 0.000 0.000
1.644 2.848 0.000
1.644 0.949 8.747
Se Si Nb
2 1 1
Direct
0.100 0.100 0.700
0.900 0.900 0.300
0.000 0.000 0.000
0.500 0.500 0.500
```



Record 4
DFT (GGA-PBEsol) results for a relaxed structure of Hg5Sb.

Its uncorrected formation energy is 0.286 eV/f.u. The value obtained for the size of the total moment is 0.00 μB per cell. As for the total energy: -1.1842 eV/atom.

Structure (POSCAR):
```
Hg5Sb
1.0
-2.992 -0.220 0.937
-0.866 -5.737 1.161
0.817 1.238 8.171
Hg Sb
5 1
Direct
0.408 0.491 0.692
0.974 0.026 0.027
0.332 0.978 0.359
0.666 0.974 0.694
0.070 0.494 0.366
0.717 0.536 0.029
```



Record 5
DFT (GGA-PBEsol) results for a relaxed structure of CdPt.

The value obtained for the size of the total moment is 0.00 μB per cell. The formation energy is -0.3110 eV per atom. As for the total energy: -4.3913 eV/atom.

Structure (POSCAR):
```
CdPt
1.0
-0.771 -0.012 2.836
1.531 -2.476 0.406
3.131 2.076 0.859
Cd Pt
1 1
Direct
0.000 0.000 0.000
0.500 0.500 0.500
```



Record 6
DFT (GGA-PBEsol) results for a relaxed structure of Zr2Ni2Au.

The value obtained for the size of the total moment is 0.00 μB per cell. The formation energy is -0.2697 eV per atom. As for the total energy: -7.1534 eV/atom.

Structure (POSCAR):
```
Zr2Ni2Au
1.0
3.278 0.000 0.000
0.000 3.278 0.000
-1.639 -1.639 7.838
Zr Ni Au
2 2 1
Direct
0.619 0.619 0.239
0.381 0.381 0.761
0.250 0.750 0.500
0.750 0.250 0.500
0.000 0.000 0.000
```



Record 7
DFT (GGA-PBEsol) results for a relaxed structure of AgTeBr2.

Its uncorrected formation energy is 0.536 eV/f.u. The value obtained for the size of the total moment is 0.00 μB per cell. As for the total energy: -2.5104 eV/atom.

Structure (POSCAR):
```
AgTeBr2
1.0
-2.900 0.398 -1.596
1.353 -1.260 -2.774
-2.364 -7.741 2.364
Te Br Ag
1 2 1
Direct
0.500 0.500 0.000
0.000 0.000 0.290
0.000 0.000 0.710
0.500 0.500 0.500
```



Record 8
DFT (GGA-PBEsol) results for a relaxed structure of Li5Cu2Ni5O12.

Its uncorrected formation energy is -27.787 eV/f.u. The value obtained for the size of the total moment is 2.94 μB per cell. As for the total energy: -5.8362 eV/atom.

Structure (POSCAR):
```
Li5Cu2Ni5O12
1.0
4.965 -0.042 -0.032
-2.321 4.389 -0.032
-0.685 -1.127 9.318
O Li Cu Ni
12 5 2 5
Direct
0.949 0.736 0.614
0.717 0.574 0.894
0.320 0.836 0.868
0.543 0.686 0.385
0.054 0.255 0.887
0.745 0.946 0.113
0.314 0.457 0.615
0.426 0.283 0.106
0.837 0.336 0.365
0.664 0.163 0.635
0.264 0.051 0.386
0.164 0.680 0.132
0.920 0.080 0.500
0.180 0.349 0.261
0.336 0.166 0.742
0.651 0.820 0.739
0.834 0.664 0.258
0.740 0.260 0.000
0.261 0.739 0.500
0.507 0.003 0.253
0.407 0.593 0.000
0.075 0.925 0.000
0.997 0.493 0.747
0.594 0.406 0.500
```